1.
DFT (PBE) results for a relaxed Mg3TaS crystal.

a b c (Å): 5.4323 5.4323 5.4323
angles (deg): 90.00 90.00 90.00
Last column: nearest neighbours and their distance in Å.
Atoms (fractional coordinates):
Mg 0.0000 0.0000 0.5000  2 Ta 2.72
Mg 0.0000 0.5000 0.0000  2 Ta 2.72
Mg 0.5000 0.0000 0.0000  2 Ta 2.72
Ta 0.0000 0.0000 0.0000  6 Mg 2.72
S 0.5000 0.5000 0.5000  12 Mg 3.84

Crystal system ... cubic
Energy relative to the elements, uncorrected ... 1432 meV per atom
Distance to the lowest polymorph of the same formula ... 952 meV/atom
Space-group type ... Pm-3m (221)

2.
DFT (PBE) results for a relaxed KAlN2 crystal.

a b c (Å): 3.1654 3.1654 20.4264
angles (deg): 90.00 90.00 120.00
Last column: nearest neighbours and their distance in Å.
Atoms (fractional coordinates):
K 0.0000 0.0000 0.0000  2 N 2.48
K 0.3333 0.6667 0.6667  2 N 2.48
K 0.6667 0.3333 0.3333  2 N 2.48
Al 0.0000 0.0000 0.5000  6 N 2.05
Al 0.3333 0.6667 0.1667  6 N 2.05
Al 0.6667 0.3333 0.8333  6 N 2.05
N 0.0000 0.0000 0.1215  3 Al 2.05
N 0.0000 0.0000 0.8785  3 Al 2.05
N 0.3333 0.6667 0.5451  3 Al 2.05
N 0.3333 0.6667 0.7882  3 Al 2.05
N 0.6667 0.3333 0.2118  3 Al 2.05
N 0.6667 0.3333 0.4549  3 Al 2.05

Crystal system ... trigonal
Energy relative to the elements, uncorrected ... 379 meV per atom
Distance to the lowest polymorph of the same formula ... 467 meV/atom
Space-group type ... R-3m (166)

3.
DFT (PBE) results for a relaxed Ca2AgH crystal.

a b c (Å): 5.3638 12.9297 5.2786
angles (deg): 90.00 90.00 90.00
Last column: nearest neighbours and their distance in Å.
Atoms (fractional coordinates):
Ca 0.2334 0.1055 0.0000  2 H 2.27
Ca 0.2334 0.8945 0.5000  2 H 2.27
Ca 0.2666 0.3945 0.0000  2 H 2.27
Ca 0.2666 0.6055 0.5000  2 H 2.27
Ca 0.7334 0.3945 0.5000  2 H 2.27
Ca 0.7334 0.6055 0.0000  2 H 2.27
Ca 0.7666 0.1055 0.5000  2 H 2.27
Ca 0.7666 0.8945 0.0000  2 H 2.27
Ag 0.2500 0.2500 0.5000  8 Ca 3.20-3.34
Ag 0.2500 0.7500 0.0000  8 Ca 3.20-3.34
Ag 0.7500 0.2500 0.0000  8 Ca 3.20-3.34
Ag 0.7500 0.7500 0.5000  8 Ca 3.20-3.34
H 0.0000 0.0000 0.2500  4 Ca 2.27
H 0.0000 0.0000 0.7500  4 Ca 2.27
H 0.5000 0.5000 0.2500  4 Ca 2.27
H 0.5000 0.5000 0.7500  4 Ca 2.27

Crystal system ... orthorhombic
Distance to the lowest polymorph of the same formula ... 0 meV/atom
Space-group type ... Cccm (66)